# Er6UO12 | the Alexandria database | PBE-GGA | relaxed
# V = 13.96 Å³ per atom
# Fermi-level density of states = 0.000 states/eV per cell
# formation energy without anion corrections = -3589.5 meV per atom
data_Er6UO12
_chemical_formula_sum 'Er6 U1 O12'
_cell_length_a 6.519
_cell_length_b 6.519
_cell_length_c 6.519
_cell_angle_alpha 99.10
_cell_angle_beta 99.10
_cell_angle_gamma 99.10
_symmetry_space_group_name_H-M 'P 1'
_symmetry_Int_Tables_number 1
loop_
_symmetry_equiv_pos_as_xyz
'x,y,z'
loop_
_atom_site_label
_atom_site_fract_x
_atom_site_fract_y
_atom_site_fract_z
Er1 0.110 0.645 0.824
Er2 0.176 0.890 0.355
Er3 0.355 0.176 0.890
Er4 0.645 0.824 0.110
Er5 0.824 0.110 0.645
Er6 0.890 0.355 0.176
U1 0.500 0.500 0.500
O1 0.074 0.322 0.913
O2 0.087 0.926 0.678
O3 0.190 0.548 0.418
O4 0.322 0.913 0.074
O5 0.418 0.190 0.548
O6 0.452 0.582 0.810
O7 0.548 0.418 0.190
O8 0.582 0.810 0.452
O9 0.678 0.087 0.926
O10 0.810 0.452 0.582
O11 0.913 0.074 0.322
O12 0.926 0.678 0.087

# SnHg2Se4 | the Alexandria database | PBE-GGA | relaxed
# V = 28.63 Å³ per atom
# Fermi-level density of states = 0.366 states/eV per cell
# formation energy without anion corrections = -203.4 meV per atom
data_SnHg2Se4
_chemical_formula_sum 'Sn1 Hg2 Se4'
_cell_length_a 7.282
_cell_length_b 7.282
_cell_length_c 7.188
_cell_angle_alpha 104.67
_cell_angle_beta 104.67
_cell_angle_gamma 33.03
_symmetry_space_group_name_H-M 'P 1'
_symmetry_Int_Tables_number 1
loop_
_symmetry_equiv_pos_as_xyz
'x,y,z'
loop_
_atom_site_label
_atom_site_fract_x
_atom_site_fract_y
_atom_site_fract_z
Sn1 0.000 0.000 0.000
Hg1 0.374 0.374 0.424
Hg2 0.626 0.626 0.576
Se1 0.138 0.138 0.351
Se2 0.379 0.379 0.068
Se3 0.621 0.621 0.932
Se4 0.862 0.862 0.649

# AgAs2 | the Alexandria database | PBE-GGA | relaxed
# V = 21.41 Å³ per atom
# Fermi-level density of states = 2.088 states/eV per cell
# ΔE_f = 0.241 eV/atom
data_AgAs2
_chemical_formula_sum 'Ag1 As2'
_cell_length_a 3.953
_cell_length_b 3.953
_cell_length_c 4.111
_cell_angle_alpha 90.00
_cell_angle_beta 90.00
_cell_angle_gamma 90.00
_symmetry_space_group_name_H-M 'P 1'
_symmetry_Int_Tables_number 1
loop_
_symmetry_equiv_pos_as_xyz
'x,y,z'
loop_
_atom_site_label
_atom_site_fract_x
_atom_site_fract_y
_atom_site_fract_z
Ag1 0.000 0.000 0.000
As1 0.000 0.500 0.500
As2 0.500 0.000 0.500

# Ac3ZnGa2Ag6 | the Alexandria database | PBE-GGA | relaxed
# V = 25.67 Å³ per atom
# Fermi-level density of states = 7.405 states/eV per cell
# ΔE_f = -0.134 eV/atom
data_Ac3ZnGa2Ag6
_chemical_formula_sum 'Ac3 Zn1 Ga2 Ag6'
_cell_length_a 6.349
_cell_length_b 6.349
_cell_length_c 8.825
_cell_angle_alpha 90.00
_cell_angle_beta 90.00
_cell_angle_gamma 120.00
_symmetry_space_group_name_H-M 'P 1'
_symmetry_Int_Tables_number 1
loop_
_symmetry_equiv_pos_as_xyz
'x,y,z'
loop_
_atom_site_label
_atom_site_fract_x
_atom_site_fract_y
_atom_site_fract_z
Ac1 0.000 0.000 0.000
Ac2 0.333 0.667 0.638
Ac3 0.667 0.333 0.362
Zn1 0.000 0.000 0.500
Ga1 0.333 0.667 0.031
Ga2 0.667 0.333 0.969
Ag1 0.181 0.361 0.288
Ag2 0.181 0.819 0.288
Ag3 0.361 0.181 0.712
Ag4 0.639 0.819 0.288
Ag5 0.819 0.181 0.712
Ag6 0.819 0.639 0.712

# TlFeAu | the Alexandria database | PBE-GGA | relaxed
# energy above the most stable polymorph in this dataset = 0 meV per atom
# V = 18.96 Å³ per atom
# Fermi-level density of states = 2.032 states/eV per cell
# ΔE_f = 0.362 eV/atom
data_TlFeAu
_chemical_formula_sum 'Tl1 Fe1 Au1'
_cell_length_a 6.416
_cell_length_b 6.416
_cell_length_c 6.416
_cell_angle_alpha 152.33
_cell_angle_beta 152.33
_cell_angle_gamma 39.54
_symmetry_space_group_name_H-M 'P 1'
_symmetry_Int_Tables_number 1
loop_
_symmetry_equiv_pos_as_xyz
'x,y,z'
loop_
_atom_site_label
_atom_site_fract_x
_atom_site_fract_y
_atom_site_fract_z
Tl1 0.000 0.000 0.000
Fe1 0.330 0.330 0.000
Au1 0.698 0.698 0.000

# SrTaRe2 | the Alexandria database | PBE-GGA | relaxed
# energy above the most stable polymorph in this dataset = 490 meV per atom
# V = 18.74 Å³ per atom
# Fermi-level density of states = 5.654 states/eV per cell
# ΔE_f = 1.035 eV/atom
data_SrTaRe2
_chemical_formula_sum 'Sr1 Ta1 Re2'
_cell_length_a 4.855
_cell_length_b 4.855
_cell_length_c 3.181
_cell_angle_alpha 90.00
_cell_angle_beta 90.00
_cell_angle_gamma 90.00
_symmetry_space_group_name_H-M 'P 1'
_symmetry_Int_Tables_number 1
loop_
_symmetry_equiv_pos_as_xyz
'x,y,z'
loop_
_atom_site_label
_atom_site_fract_x
_atom_site_fract_y
_atom_site_fract_z
Sr1 0.000 0.000 0.000
Ta1 0.500 0.500 0.000
Re1 0.000 0.500 0.500
Re2 0.500 0.000 0.500

# Zn2ReH6 | the Alexandria database | PBE-GGA | relaxed
# V = 10.14 Å³ per atom
# Fermi-level density of states = 2.839 states/eV per cell
# calculated total energy = -3.74 eV per atom
data_Zn2ReH6
_chemical_formula_sum 'Zn2 Re1 H6'
_cell_length_a 4.616
_cell_length_b 4.616
_cell_length_c 6.233
_cell_angle_alpha 122.43
_cell_angle_beta 122.43
_cell_angle_gamma 61.65
_symmetry_space_group_name_H-M 'P 1'
_symmetry_Int_Tables_number 1
loop_
_symmetry_equiv_pos_as_xyz
'x,y,z'
loop_
_atom_site_label
_atom_site_fract_x
_atom_site_fract_y
_atom_site_fract_z
Zn1 0.111 0.111 0.397
Zn2 0.889 0.889 0.603
Re1 0.500 0.500 0.500
H1 0.221 0.221 0.220
H2 0.239 0.642 0.223
H3 0.358 0.761 0.777
H4 0.642 0.239 0.223
H5 0.761 0.358 0.777
H6 0.779 0.779 0.780

# CdGeNF2 | the Alexandria database | PBE-GGA | relaxed
# energy above the most stable polymorph in this dataset = 500 meV per atom
# V = 16.34 Å³ per atom
# Fermi-level density of states = 1.641 states/eV per cell
# formation energy without anion corrections = -181.8 meV per atom
data_CdGeNF2
_chemical_formula_sum 'Cd1 Ge1 N1 F2'
_cell_length_a 4.272
_cell_length_b 4.272
_cell_length_c 4.475
_cell_angle_alpha 90.00
_cell_angle_beta 90.00
_cell_angle_gamma 90.00
_symmetry_space_group_name_H-M 'P 1'
_symmetry_Int_Tables_number 1
loop_
_symmetry_equiv_pos_as_xyz
'x,y,z'
loop_
_atom_site_label
_atom_site_fract_x
_atom_site_fract_y
_atom_site_fract_z
Cd1 0.000 0.000 0.000
Ge1 0.500 0.500 0.500
N1 0.000 0.000 0.500
F1 0.000 0.500 0.000
F2 0.500 0.000 0.000